No. 1
Entry from Alexandria: a relaxed Sb3SeI7 crystal (PBE).

Structure (extended XYZ):
```
11
Lattice="-5.5447 1.9232 -4.8191 4.0740 -4.1434 -6.3410 -5.7049 -4.1770 4.8970" Properties=species:S:1:pos:R:3 pbc="T T T"
Sb -5.1776 -2.6715 -4.3730
Sb -7.9083 -4.6709 -2.0290
Sb -7.1277 -0.6882 -1.3377
Se -5.6547 -3.0526 -1.6384
I -4.1608 -4.1376 2.9259
I -1.3288 -2.0641 0.4950
I 0.6582 -4.1004 -2.7308
I -0.5674 -3.1022 -7.0981
I -2.6122 -1.0226 -3.9155
I -3.4308 -5.1987 -4.6403
I -2.1384 -6.1944 -0.2219
```

Magnetic moment: 0.000 μB/f.u.
Calculated density: 4.55 g cm⁻³

***

No. 2
Entry from Alexandria: a relaxed SbSeI2 crystal (PBE).

Structure (extended XYZ):
```
4
Lattice="4.0765 -1.5768 3.2574 -0.9987 -3.3288 4.1996 1.7561 -5.1588 -0.1337" Properties=species:S:1:pos:R:3 pbc="T T T"
I 1.2085 -2.5161 1.8308
I 3.6255 -7.5483 5.4924
Sb 2.4170 -5.0322 3.6616
Se 0.0000 0.0000 0.0000
```

Magnetic moment: 0.000 μB/f.u.
Calculated density: 6.59 g cm⁻³
Excess energy over the best structure of this formula in the dataset: 223 kJ/mol of formula units

***

No. 3
Entry from Alexandria: a relaxed Sb4Se5I crystal (PBE).

Structure (extended XYZ):
```
20
Lattice="-4.3929 -0.6683 -6.1993 5.4111 -5.8620 -3.2024 -5.5493 -7.7257 4.7651" Properties=species:S:1:pos:R:3 pbc="T T T"
Sb -8.3291 -6.2658 -2.6042
Sb 1.6864 -4.2722 -4.9625
Sb -0.2338 -2.1920 -3.8261
Sb -5.8164 -2.7677 -4.7618
Sb 1.3544 -4.6945 -0.6562
Sb -0.7373 -9.0519 -3.6579
Sb -4.2282 -5.2702 -1.5919
Sb -1.6822 -8.9221 1.9513
Se -1.6586 -10.6034 -0.1311
Se -4.0974 -7.9615 1.3122
Se -1.0895 -3.5083 -6.9568
Se 1.6659 -5.9751 -2.9859
Se -0.7729 -3.3331 -1.5426
Se -0.7168 -7.3490 -5.6346
Se -3.6891 -4.1290 -3.8755
Se -3.3725 -3.9538 1.5388
Se -5.9139 -7.2263 -1.9651
Se -2.9415 -10.4463 -3.7242
I -3.5195 -0.5354 -4.9668
I -0.9425 -6.9267 -0.4512
```

Magnetic moment: 0.000 μB/f.u.
Calculated density: 4.80 g cm⁻³

***

No. 4
Entry from Alexandria: a relaxed Sb2Se2I crystal (PBE).

Structure (extended XYZ):
```
5
Lattice="5.0329 0.0000 0.0000 0.0000 5.0329 0.0000 2.5164 2.5164 6.0850" Properties=species:S:1:pos:R:3 pbc="T T T"
I 0.0000 0.0000 0.0000
Sb 2.5164 2.5164 1.7574
Sb 5.0329 5.0329 4.3276
Se 5.0329 2.5164 3.0425
Se 2.5164 5.0329 3.0425
```

Magnetic moment: 0.000 μB/f.u.
Calculated density: 5.69 g cm⁻³
Excess energy over the best structure of this formula in the dataset: 53 kJ/mol of formula units

***

| no. | uncorrected formation energy (eV per formula unit) |
| --- | --- |
| 1 | -3.5 |
| 2 | 1.8 |
| 3 | -1.2 |
| 4 | -0.5 |